1.
The following is a DFT calculation (PBE) of a relaxed Cr2HgPt crystal.

Cell: 9.4075 3.0119 4.7484 Å, 90.00 106.31 90.00°
Closest atoms and distances in Å follow each position.
Space group Cm (No. 8)
One atom of each set of equivalent atoms:
Cr1 0.0000 0.0000 0.0000 [2 per cell]  2 Cr 2.53, 2 Pt 2.74, 4 Hg 2.80-2.83
Cr2 0.2186 0.5000 0.2273 [2 per cell]  2 Cr 2.53, 2 Pt 2.75, 1 Hg 2.82
Hg1 0.4838 0.0000 0.4882 [2 per cell]  7 Cr 2.80-2.88, 3 Pt 2.85-2.91, 2 Hg 3.01
Pt1 0.2515 0.0000 0.7656 [2 per cell]  7 Cr 2.74-2.91, 3 Hg 2.85-2.91, 2 Pt 3.01

Magnetic moment ... 0.0367 μB per atom
Energy of formation from the pure elements ... 187.0 meV/atom
Electronic total energy ... -49.7 eV/cell

2.
The following is a DFT calculation (PBE) of a relaxed CaCo2Hg crystal.

Cell: 6.5865 6.5865 6.5865 Å, 90.00 90.00 90.00°
Closest atoms and distances in Å follow each position.
Space group F-43m (No. 216)
One atom of each set of equivalent atoms:
Ca1 0.0000 0.0000 0.0000 [4 per cell]  4 Hg 2.85, 4 Co 2.85
Co1 0.0000 0.0000 0.5000 [4 per cell]  4 Co 2.85, 4 Hg 2.85
Co2 0.2500 0.2500 0.7500 [4 per cell]  4 Co 2.85, 4 Ca 2.85
Hg1 0.2500 0.2500 0.2500 [4 per cell]  4 Co 2.85, 4 Ca 2.85

Magnetic moment ... 0.7518 μB per atom
Energy of formation from the pure elements ... 392.6 meV/atom
Electronic total energy ... -59.8 eV/cell

3.
The following is a DFT calculation (PBE) of a relaxed AlCoPd3 crystal.

Cell: 4.5519 4.5519 4.5519 Å, 90.00 90.00 90.00°
Closest atoms and distances in Å follow each position.
Space group Pm-3m (No. 221)
One atom of each set of equivalent atoms:
Al1 0.0000 0.0000 0.0000 [1 per cell]  12 Pd 3.22
Co1 0.5000 0.5000 0.5000 [1 per cell]  6 Pd 2.28
Pd1 0.0000 0.5000 0.5000 [3 per cell]  2 Co 2.28

Magnetic moment ... 0.5592 μB per atom
Energy of formation from the pure elements ... 633.2 meV/atom
Electronic total energy ... -23.3 eV/cell

4.
The following is a DFT calculation (PBE) of a relaxed MgAlSb2 crystal.

Cell: 3.1299 3.1299 9.9575 Å, 90.00 90.00 90.00°
Closest atoms and distances in Å follow each position.
Space group P4mm (No. 99)
One atom of each set of equivalent atoms:
Mg1 0.0000 0.0000 0.0000 [1 per cell]  4 Al 3.01, 4 Mg 3.13, 4 Sb 3.18
Al1 0.5000 0.5000 0.7950 [1 per cell]  4 Mg 3.01, 4 Al 3.13, 4 Sb 3.15
Sb1 0.0000 0.0000 0.5699 [1 per cell]  4 Sb 3.13, 4 Al 3.15
Sb2 0.5000 0.5000 0.2291 [1 per cell]  4 Sb 3.13, 4 Mg 3.18

Energy above the most stable polymorph in this dataset ... 0.59 eV/f.u.
Magnetic moment ... 0.0000 μB per atom
Electronic total energy ... -13.3 eV/cell